PmHoHg4: relaxed, PBE.

total magnetization	0.000	μB/f.u.
energy above the lowest structure with this stoichiometry	127	meV/atom
space-group type	F-43m
total DFT energy (no corrections)	-11.9	eV per formula unit

abc: 5.9758 5.9758 5.9758
angles: 60.00 60.00 60.00
Positions (direct):
Pm  0.0000  0.0000  0.0000
Ho  0.7500  0.7500  0.7500
Hg  0.3750  0.3750  0.3750
Hg  0.3750  0.3750  0.8750
Hg  0.3750  0.8750  0.3750
Hg  0.8750  0.3750  0.3750


Pm4HoHg5: relaxed, PBE.

total magnetization	1.935	μB/f.u.
space-group type	P4/mmm
total DFT energy (no corrections)	-29.8	eV per formula unit

abc: 3.7878 3.7878 18.9898
angles: 90.00 90.00 90.00
Positions (direct):
Pm  0.0000  0.0000  0.1011
Pm  0.0000  0.0000  0.3033
Pm  0.0000  0.0000  0.6967
Pm  0.0000  0.0000  0.8989
Ho  0.0000  0.0000  0.5000
Hg  0.5000  0.5000  0.0000
Hg  0.5000  0.5000  0.2019
Hg  0.5000  0.5000  0.4075
Hg  0.5000  0.5000  0.5925
Hg  0.5000  0.5000  0.7981


PmHo2Hg: relaxed, PBE.

total magnetization	0.000	μB/f.u.
energy above the lowest structure with this stoichiometry	64	meV/atom
space-group type	R-3m
total DFT energy (no corrections)	-14.9	eV per formula unit

abc: 10.7902 10.7902 10.7902
angles: 19.31 19.31 19.31
Positions (direct):
Pm  0.0000  0.0000  0.0000
Ho  0.2417  0.2417  0.2417
Ho  0.7583  0.7583  0.7583
Hg  0.5000  0.5000  0.5000


PmHo3Hg2: relaxed, PBE.

total magnetization	0.000	μB/f.u.
energy above the lowest structure with this stoichiometry	0	meV/atom
space-group type	Pmc2_1
total DFT energy (no corrections)	-21.2	eV per formula unit

abc: 5.0988 9.2667 7.1462
angles: 90.00 90.00 90.00
Positions (direct):
Pm  0.0000  0.0571  0.0000
Pm  0.0000  0.9429  0.5000
Ho  0.0000  0.3281  0.6521
Ho  0.0000  0.6719  0.1521
Ho  0.5000  0.1790  0.3176
Ho  0.5000  0.4427  0.9685
Ho  0.5000  0.5573  0.4685
Ho  0.5000  0.8210  0.8176
Hg  0.0000  0.3540  0.2263
Hg  0.0000  0.6460  0.7263
Hg  0.5000  0.1497  0.7423
Hg  0.5000  0.8503  0.2423


Pm4HoHg: relaxed, PBE.

total magnetization	0.000	μB/f.u.
energy above the lowest structure with this stoichiometry	95	meV/atom
space-group type	C2/c
total DFT energy (no corrections)	-24.2	eV per formula unit

abc: 8.3583 8.3583 6.4690
angles: 100.07 100.07 115.46
Positions (direct):
Pm  0.0895  0.7115  0.9522
Pm  0.1681  0.3995  0.6245
Pm  0.2885  0.9105  0.5478
Pm  0.3995  0.1681  0.1245
Pm  0.6005  0.8319  0.8755
Pm  0.7115  0.0895  0.4522
Pm  0.8319  0.6005  0.3755
Pm  0.9105  0.2885  0.0478
Ho  0.4078  0.5922  0.2500
Ho  0.5922  0.4078  0.7500
Hg  0.0014  0.9986  0.2500
Hg  0.9986  0.0014  0.7500


Pm2HoHg3: relaxed, PBE.

total magnetization	1.002	μB/f.u.
space-group type	P4/mmm
total DFT energy (no corrections)	-17.8	eV per formula unit

abc: 3.7657 3.7657 11.4076
angles: 90.00 90.00 90.00
Positions (direct):
Pm  0.0000  0.0000  0.1700
Pm  0.0000  0.0000  0.8300
Ho  0.0000  0.0000  0.5000
Hg  0.5000  0.5000  0.0000
Hg  0.5000  0.5000  0.3446
Hg  0.5000  0.5000  0.6554


Number 1: ΔH_f (0 K) -219 meV/atom. Number 2: ΔH_f (0 K) -474 meV/atom. Number 3: ΔH_f (0 K) -172 meV/atom. Number 4: ΔH_f (0 K) -352 meV/atom. Number 5: ΔH_f (0 K) -50 meV/atom. Number 6: ΔH_f (0 K) -474 meV/atom.